1.
Material: CuSnBi2H
Method: DFT, PBE-GGA
State: relaxed

Unit cell a=5.7471 b=5.7471 c=3.3565 alpha=90.00 beta=90.00 gamma=90.00
Fractional coordinates of all 5 atoms:
Cu  0.0000  0.0000  0.0000
Sn  0.5000  0.5000  0.5000
Bi  0.0000  0.5000  0.0000
Bi  0.5000  0.0000  0.0000
H  0.0000  0.0000  0.5000

Summary:
The size of the total moment comes out at 0.0 μB/cell. The density is 9.01 Mg/m³. The value obtained for the total energy is -3.65 eV/atom.

***

2.
Material: SrCuBiH2
Method: DFT, PBE-GGA
State: relaxed

Unit cell a=6.1992 b=6.1992 c=6.7357 alpha=90.00 beta=90.00 gamma=137.68
Fractional coordinates of all 10 atoms:
Sr  0.2117  0.7883  0.7500
Sr  0.7883  0.2117  0.2500
Cu  0.5000  0.5000  0.0000
Cu  0.5000  0.5000  0.5000
Bi  0.0655  0.9345  0.2500
Bi  0.9345  0.0655  0.7500
H  0.3616  0.6384  0.0392
H  0.3616  0.6384  0.4608
H  0.6384  0.3616  0.5392
H  0.6384  0.3616  0.9608

Summary:
The size of the total moment comes out at 0.0 μB/cell. The density is 6.90 Mg/m³. The value obtained for the total energy is -3.51 eV/atom.

***

3.
Material: Ti7CuBi2H2
Method: DFT, PBE-GGA
State: relaxed

Unit cell a=4.1454 b=4.1454 c=11.4038 alpha=100.40 beta=100.40 gamma=90.01
Fractional coordinates of all 12 atoms:
Ti  0.0000  0.0000  0.0000
Ti  0.0869  0.5869  0.1746
Ti  0.1778  0.1778  0.3582
Ti  0.4131  0.9131  0.8254
Ti  0.5869  0.0869  0.1746
Ti  0.8222  0.8222  0.6418
Ti  0.9131  0.4131  0.8254
Cu  0.5000  0.5000  0.0000
Bi  0.3148  0.3148  0.6271
Bi  0.6852  0.6852  0.3729
H  0.0893  0.0893  0.1791
H  0.9107  0.9107  0.8209

Summary:
The size of the total moment comes out at 0.0 μB/cell. The density is 7.17 Mg/m³. The value obtained for the total energy is -6.35 eV/atom.

***

4.
Material: Ti2CuBiH
Method: DFT, PBE-GGA
State: relaxed

Unit cell a=4.0584 b=4.0584 c=4.3488 alpha=90.00 beta=90.00 gamma=90.00
Fractional coordinates of all 5 atoms:
Ti  0.0000  0.5000  0.0000
Ti  0.5000  0.0000  0.0000
Cu  0.0000  0.0000  0.5000
Bi  0.5000  0.5000  0.5000
H  0.0000  0.0000  0.0000

Summary:
The size of the total moment comes out at 0.0 μB/cell. The density is 8.56 Mg/m³. The value obtained for the total energy is -5.56 eV/atom.

***

5.
Material: TlCuBi2H
Method: DFT, PBE-GGA
State: relaxed

Unit cell a=5.7805 b=5.7805 c=3.3621 alpha=90.00 beta=90.00 gamma=90.00
Fractional coordinates of all 5 atoms:
Tl  0.0000  0.0000  0.0000
Cu  0.5000  0.5000  0.5000
Bi  0.0000  0.5000  0.5000
Bi  0.5000  0.0000  0.5000
H  0.5000  0.5000  0.0000

Summary:
The size of the total moment comes out at 0.0 μB/cell. The density is 10.15 Mg/m³. The value obtained for the total energy is -3.30 eV/atom.

***

6.
Material: YCu2BiH
Method: DFT, PBE-GGA
State: relaxed

Unit cell a=5.2179 b=5.2179 c=3.8336 alpha=90.00 beta=90.00 gamma=90.00
Fractional coordinates of all 5 atoms:
Y  0.0000  0.0000  0.0000
Cu  0.0000  0.5000  0.5000
Cu  0.5000  0.0000  0.5000
Bi  0.5000  0.5000  0.5000
H  0.5000  0.5000  0.0000

Summary:
The size of the total moment comes out at 0.0 μB/cell. The density is 6.78 Mg/m³. The value obtained for the total energy is -3.96 eV/atom.

***

7.
Material: Zr2CuBiH
Method: DFT, PBE-GGA
State: relaxed

Unit cell a=4.4101 b=4.4101 c=4.3384 alpha=90.00 beta=90.00 gamma=90.00
Fractional coordinates of all 5 atoms:
Zr  0.0000  0.5000  0.0000
Zr  0.5000  0.0000  0.0000
Cu  0.0000  0.0000  0.5000
Bi  0.5000  0.5000  0.5000
H  0.0000  0.0000  0.0000

Summary:
The size of the total moment comes out at 0.0 μB/cell. The density is 8.97 Mg/m³. The value obtained for the total energy is -5.89 eV/atom.

***

8.
Material: Zr2CuBiH
Method: DFT, PBE-GGA
State: relaxed

Unit cell a=5.6661 b=5.6661 c=3.5546 alpha=90.00 beta=90.00 gamma=90.00
Fractional coordinates of all 5 atoms:
Zr  0.0000  0.5000  0.0000
Zr  0.5000  0.0000  0.0000
Cu  0.0000  0.0000  0.5000
Bi  0.5000  0.5000  0.0000
H  0.5000  0.5000  0.5000

Summary:
The size of the total moment comes out at 0.0 μB/cell. The density is 6.63 Mg/m³. The value obtained for the total energy is -4.71 eV/atom.

***

9.
Material: Hf4CuBi
Method: DFT, PBE-GGA
State: relaxed

Unit cell a=5.9364 b=5.6564 c=7.7073 alpha=90.00 beta=90.00 gamma=90.00
Fractional coordinates of all 12 atoms:
Hf  0.0000  0.2477  0.1171
Hf  0.0000  0.7523  0.8829
Hf  0.2500  0.1965  0.7500
Hf  0.2500  0.8035  0.2500
Hf  0.5000  0.2477  0.3829
Hf  0.5000  0.7523  0.6171
Hf  0.7500  0.1965  0.7500
Hf  0.7500  0.8035  0.2500
Cu  0.0000  0.0000  0.5000
Cu  0.5000  0.0000  0.0000
Bi  0.0000  0.5000  0.5000
Bi  0.5000  0.5000  0.0000

Summary:
The size of the total moment comes out at 0.0 μB/cell. The density is 12.66 Mg/m³. For the formation energy, the calculation gives 0.0491 eV per atom.

***

10.
Material: Hf2CuBi2
Method: DFT, PBE-GGA
State: relaxed

Unit cell a=7.5629 b=7.5629 c=4.1248 alpha=90.00 beta=90.00 gamma=90.00
Fractional coordinates of all 10 atoms:
Hf  0.1458  0.3542  0.0000
Hf  0.3542  0.8542  0.0000
Hf  0.6458  0.1458  0.0000
Hf  0.8542  0.6458  0.0000
Cu  0.0000  0.0000  0.0000
Cu  0.5000  0.5000  0.0000
Bi  0.1599  0.6599  0.5000
Bi  0.3401  0.1599  0.5000
Bi  0.6599  0.8401  0.5000
Bi  0.8401  0.3401  0.5000

Summary:
The size of the total moment comes out at 0.0 μB/cell. The density is 11.80 Mg/m³. For the formation energy, the calculation gives 0.0957 eV per atom.

***

11.
Material: HfCuBi2
Method: DFT, PBE-GGA
State: relaxed

Unit cell a=9.9778 b=9.9778 c=9.9778 alpha=20.23 beta=20.23 gamma=20.23
Fractional coordinates of all 4 atoms:
Hf  0.0000  0.0000  0.0000
Cu  0.5000  0.5000  0.5000
Bi  0.4114  0.4114  0.4114
Bi  0.5886  0.5886  0.5886

Summary:
The size of the total moment comes out at 0.0 μB/cell. The density is 10.54 Mg/m³. For the formation energy, the calculation gives 0.2555 eV per atom.

***

12.
Material: Hf2Cu2Bi
Method: DFT, PBE-GGA
State: relaxed

Unit cell a=7.7959 b=7.7959 c=3.2953 alpha=90.00 beta=90.00 gamma=90.00
Fractional coordinates of all 10 atoms:
Hf  0.1536  0.3464  0.0000
Hf  0.3464  0.8464  0.0000
Hf  0.6536  0.1536  0.0000
Hf  0.8464  0.6536  0.0000
Cu  0.1332  0.6332  0.5000
Cu  0.3668  0.1332  0.5000
Cu  0.6332  0.8668  0.5000
Cu  0.8668  0.3668  0.5000
Bi  0.0000  0.0000  0.0000
Bi  0.5000  0.5000  0.0000

Summary:
The size of the total moment comes out at 0.0 μB/cell. The density is 11.49 Mg/m³. For the formation energy, the calculation gives 0.1610 eV per atom.